Below is a relaxed structure of Er2MnCoO6, with properties calculated at the PBE+U level.

a = 5.220 Å, b = 5.676 Å, c = 7.374 Å
α = 90.00°, β = 89.59°, γ = 90.00°
Sites, in units of the cell vectors:
Er: 0.979 0.081 0.750
Er: 0.521 0.581 0.750
Er: 0.479 0.419 0.250
Er: 0.021 0.919 0.250
Mn: 0.000 0.500 0.000
Mn: 0.500 0.000 0.500
O: 0.820 0.800 0.943
O: 0.615 0.039 0.250
O: 0.320 0.700 0.443
O: 0.180 0.200 0.057
O: 0.385 0.961 0.750
O: 0.801 0.824 0.556
O: 0.115 0.461 0.750
O: 0.199 0.176 0.444
O: 0.680 0.300 0.557
O: 0.699 0.324 0.944
O: 0.885 0.539 0.250
O: 0.301 0.676 0.056
Co: 0.500 0.000 0.000
Co: 0.000 0.500 0.500

Values from the calculation:
Raw total energy ... -7.557 eV/atom